# TmSc2Hg3 (GGA-PBE, relaxed)
data_TmSc2Hg3
_chemical_formula_sum 'Tm1 Sc2 Hg3'
_space_group_name_H-M_alt 'P 1'
_space_group_IT_number 1
_cell_length_a 3.5786
_cell_length_b 3.5786
_cell_length_c 10.6876
_cell_angle_alpha 90.00
_cell_angle_beta 90.00
_cell_angle_gamma 90.00
loop_
_space_group_symop_operation_xyz
'x,y,z'
loop_
_atom_site_label
_atom_site_type_symbol
_atom_site_fract_x
_atom_site_fract_y
_atom_site_fract_z
Tm1 Tm 0.5000 0.5000 0.5000
Sc1 Sc 0.5000 0.5000 0.8383
Sc2 Sc 0.5000 0.5000 0.1617
Hg1 Hg 0.0000 0.0000 0.0000
Hg2 Hg 0.0000 0.0000 0.6780
Hg3 Hg 0.0000 0.0000 0.3220
# - Formation energy from the elements: -2.6 eV/f.u.
# - Size of the total moment: 0.0 μB per formula unit

# V3GeIr (GGA-PBE, relaxed)
data_V3GeIr
_chemical_formula_sum 'V3 Ge1 Ir1'
_space_group_name_H-M_alt 'P 1'
_space_group_IT_number 1
_cell_length_a 4.3888
_cell_length_b 4.3888
_cell_length_c 4.3888
_cell_angle_alpha 90.00
_cell_angle_beta 90.00
_cell_angle_gamma 90.00
loop_
_space_group_symop_operation_xyz
'x,y,z'
loop_
_atom_site_label
_atom_site_type_symbol
_atom_site_fract_x
_atom_site_fract_y
_atom_site_fract_z
Ge1 Ge 0.0000 0.0000 0.0000
Ir1 Ir 0.5000 0.5000 0.5000
V1 V 0.0000 0.5000 0.0000
V2 V 0.0000 0.0000 0.5000
V3 V 0.5000 0.0000 0.0000
# - Formation energy from the elements: 5.0 eV/f.u.
# - Energy above the most stable polymorph in this dataset: 0.098 eV per atom
# - Size of the total moment: 0.8 μB per formula unit

Which value of formation energy from the elements does entry 2 give?
5.0 eV/f.u.

Copy entry 1 word for word.
# TmSc2Hg3 (GGA-PBE, relaxed)
data_TmSc2Hg3
_chemical_formula_sum 'Tm1 Sc2 Hg3'
_space_group_name_H-M_alt 'P 1'
_space_group_IT_number 1
_cell_length_a 3.5786
_cell_length_b 3.5786
_cell_length_c 10.6876
_cell_angle_alpha 90.00
_cell_angle_beta 90.00
_cell_angle_gamma 90.00
loop_
_space_group_symop_operation_xyz
'x,y,z'
loop_
_atom_site_label
_atom_site_type_symbol
_atom_site_fract_x
_atom_site_fract_y
_atom_site_fract_z
Tm1 Tm 0.5000 0.5000 0.5000
Sc1 Sc 0.5000 0.5000 0.8383
Sc2 Sc 0.5000 0.5000 0.1617
Hg1 Hg 0.0000 0.0000 0.0000
Hg2 Hg 0.0000 0.0000 0.6780
Hg3 Hg 0.0000 0.0000 0.3220
# - Formation energy from the elements: -2.6 eV/f.u.
# - Size of the total moment: 0.0 μB per formula unit